Entry 1:
A relaxed AcIn6Ni crystal. Source: Alexandria, functional PBE.

```
8
Lattice="4.6997 0.0000 0.0000 0.0000 4.6997 0.0000 0.0000 0.0000 9.3290" Properties=species:S:1:pos:R:3 pbc="T T T"
Ac 0.0000 0.0000 0.0000
In 0.0000 2.3499 3.1917
In 0.0000 2.3499 6.1373
In 2.3499 0.0000 3.1917
In 2.3499 0.0000 6.1373
In 2.3499 2.3499 1.3796
In 2.3499 2.3499 7.9493
Ni 0.0000 0.0000 4.6645
```

Summary:
SG: P4/mmm, No. 123
Volume in Å³ per cell: 206
Total DFT energy (no corrections) in eV/cell: -28.0

Entry 2:
A relaxed AcInNi crystal. Source: Alexandria, functional PBE.

```
6
Lattice="6.1845 -2.2645 0.0000 6.1845 2.2645 0.0000 -1.0139 0.0000 5.4230" Properties=species:S:1:pos:R:3 pbc="T T T"
Ac 1.2579 0.0000 1.6912
Ac 10.0971 0.0000 3.7318
In 4.8155 0.0000 1.0450
In 6.5395 0.0000 4.3780
Ni 1.7598 0.0000 4.6912
Ni 9.5952 0.0000 0.7318
```

Summary:
SG: C2/m, No. 12
Volume in Å³ per cell: 152
Total DFT energy (no corrections) in eV/cell: -27.8

Entry 3:
A relaxed Ac2In2Ni crystal. Source: Alexandria, functional PBE.

```
10
Lattice="6.4248 -1.9936 0.0000 6.4248 1.9936 0.0000 -5.9919 0.0000 11.8069" Properties=species:S:1:pos:R:3 pbc="T T T"
Ac -1.0517 0.0000 4.4685
Ac -1.6301 0.0000 10.1045
Ac 8.4877 0.0000 1.7023
Ac 7.9093 0.0000 7.3383
In -5.0639 0.0000 10.6964
In 2.5062 0.0000 4.5936
In 4.3514 0.0000 7.2133
In 11.9215 0.0000 1.1104
Ni 4.3107 0.0000 2.4735
Ni 2.5469 0.0000 9.3334
```

Summary:
SG: C2/m, No. 12
Volume in Å³ per cell: 302
Total DFT energy (no corrections) in eV/cell: -42.7

Entry 4:
A relaxed AcInNi crystal. Source: Alexandria, functional PBE.

```
6
Lattice="5.6557 -2.1618 0.0000 5.6557 2.1618 0.0000 -4.3714 0.0000 6.1685" Properties=species:S:1:pos:R:3 pbc="T T T"
Ac -0.6462 0.0000 1.9960
Ac 7.5861 0.0000 4.1726
In -0.5485 0.0000 5.5960
In 7.4884 0.0000 0.5725
Ni 2.7625 0.0000 2.0303
Ni 4.1774 0.0000 4.1383
```

Summary:
SG: C2/m, No. 12
Volume in Å³ per cell: 151
Total DFT energy (no corrections) in eV/cell: -27.5

Entry 5:
A relaxed Ac2In2Ni3 crystal. Source: Alexandria, functional PBE.

```
7
Lattice="6.2482 -1.9836 0.0000 6.2482 1.9836 0.0000 -3.1410 0.0000 6.4116" Properties=species:S:1:pos:R:3 pbc="T T T"
Ac 0.5753 0.0000 1.7948
Ac 8.7801 0.0000 4.6168
In -0.3492 0.0000 5.1061
In 9.7047 0.0000 1.3055
Ni 5.0367 0.0000 0.5009
Ni 4.6777 0.0000 3.2058
Ni 4.3187 0.0000 5.9106
```

Summary:
SG: C2/m, No. 12
Volume in Å³ per cell: 159
Total DFT energy (no corrections) in eV/cell: -32.8

Entry 6:
A relaxed Ac2In2Ni15 crystal. Source: Alexandria, functional PBE.

```
19
Lattice="4.3174 2.4926 4.2469 -4.3174 2.4926 4.2469 0.0000 -4.9852 4.2469" Properties=species:S:1:pos:R:3 pbc="T T T"
Ac 0.0000 0.0000 1.8622
Ac 0.0000 0.0000 10.8786
In 0.0000 0.0000 5.0296
In 0.0000 0.0000 7.7112
Ni -2.1587 -1.2463 4.2469
Ni 0.0000 -2.4840 4.1116
Ni -2.1512 1.2420 4.1116
Ni -1.2700 -2.1997 6.3704
Ni -2.5400 0.0000 6.3704
Ni -2.1512 -1.2420 8.6292
Ni -2.1587 1.2463 8.4939
Ni 1.2700 -2.1997 6.3704
Ni 0.0000 2.4926 4.2469
Ni -1.2700 2.1997 6.3704
Ni 2.1512 1.2420 4.1116
Ni 2.5400 0.0000 6.3704
Ni 1.2700 2.1997 6.3704
Ni 2.1512 -1.2420 8.6292
Ni 0.0000 2.4840 8.6292
```

Summary:
SG: R-3m, No. 166
Volume in Å³ per cell: 274
Total DFT energy (no corrections) in eV/cell: -102.4

Entry 7:
A relaxed AcIn8Ni4 crystal. Source: Alexandria, functional PBE.

```
13
Lattice="-4.7984 4.7984 2.8331 4.7984 -4.7984 2.8331 4.7984 4.7984 -2.8331" Properties=species:S:1:pos:R:3 pbc="T T T"
Ac 0.0000 0.0000 0.0000
In 3.2663 0.0000 0.0000
In 6.3304 0.0000 0.0000
In 4.7984 2.6520 0.0000
In 0.0000 3.2663 0.0000
In 2.6520 4.7984 0.0000
In 2.1463 0.0000 2.8331
In 0.0000 6.3304 0.0000
In 0.0000 2.1463 2.8331
Ni 2.3992 2.3992 -1.4165
Ni 2.3992 -2.3992 1.4165
Ni -2.3992 2.3992 1.4165
Ni 2.3992 2.3992 1.4165
```

Summary:
SG: I4/mmm, No. 139
Volume in Å³ per cell: 261
Total DFT energy (no corrections) in eV/cell: -51.0

Entry 8:
A relaxed AcIn3Ni3 crystal. Source: Alexandria, functional PBE.

```
14
Lattice="3.5126 2.0280 6.7378 -3.5126 2.0280 6.7378 0.0000 -4.0560 6.7378" Properties=species:S:1:pos:R:3 pbc="T T T"
Ac 0.0000 0.0000 1.8755
Ac 0.0000 0.0000 18.3378
In -1.7228 -0.9946 8.7444
In 0.0000 -1.9893 11.4689
In -1.7228 0.9946 11.4689
In 1.7228 -0.9946 8.7444
In 0.0000 1.9893 8.7444
In 1.7228 0.9946 11.4689
Ni 0.0000 -1.4822 6.7369
Ni -1.2836 0.7411 6.7369
Ni -1.2836 -0.7411 13.4764
Ni 1.2836 0.7411 6.7369
Ni 1.2836 -0.7411 13.4764
Ni 0.0000 1.4822 13.4764
```

Summary:
SG: R-3m, No. 166
Volume in Å³ per cell: 288
Total DFT energy (no corrections) in eV/cell: -62.5

Number 1: energy relative to the elements -0.211 eV/atom. Number 2: energy relative to the elements -0.419 eV/atom. Number 3: energy relative to the elements -0.380 eV/atom. Number 4: energy relative to the elements -0.377 eV/atom. Number 5: energy relative to the elements -0.257 eV/atom. Number 6: energy relative to the elements -0.106 eV/atom. Number 7: energy relative to the elements -0.145 eV/atom. Number 8: energy relative to the elements -0.229 eV/atom.